Entry 1:
Below is a geometry-optimized K2PdBr2F4 structure, with properties calculated at the GGA-PBE level.

Geometry as POSCAR:
```
K2PdBr2F4
1.0
-3.408 3.408 4.180
3.408 -3.408 4.180
3.408 3.408 -4.180
K Pd Br F
2 1 2 4
Cartesian
3.408 0.000 2.090
0.000 3.408 2.090
0.000 0.000 0.000
0.000 0.000 2.484
0.000 0.000 5.876
1.393 1.393 0.000
2.015 -2.015 4.180
-2.015 2.015 4.180
2.015 2.015 4.180
```

Output
The value obtained for the energy is -3.70 eV per atom. The value obtained for the formation energy (no corrections) is -38.6 kcal/mol of atoms. The density is 3.60 g/cm³.


Entry 2:
Below is a geometry-optimized Pr2TlF7 structure, with properties calculated at the GGA-PBE level.

Geometry as POSCAR:
```
Pr2TlF7
1.0
3.740 -5.945 0.000
3.740 5.945 0.000
0.000 0.000 4.601
Pr Tl F
2 1 7
Cartesian
3.740 3.633 0.000
3.740 -3.633 0.000
3.740 0.000 2.300
0.000 0.000 0.000
2.319 1.708 0.000
3.740 3.356 2.300
2.319 -1.708 0.000
5.161 1.708 0.000
3.740 -3.356 2.300
5.161 -1.708 0.000
```

Output
The value obtained for the density of states at the Fermi level is 0.00 states/eV/f.u. The value obtained for the energy is -6.10 eV per atom. The value obtained for the formation energy (no corrections) is -82.9 kcal/mol of atoms. The density is 5.03 g/cm³.


Entry 3:
Below is a geometry-optimized Tb5Pm5Ho structure, with properties calculated at the GGA-PBE level.

Geometry as POSCAR:
```
Tb5Pm5Ho
1.0
6.922 0.000 0.000
2.403 6.498 0.000
2.303 1.576 8.280
Tb Pm Ho
5 5 1
Cartesian
0.000 0.000 0.000
5.634 6.340 5.263
4.743 2.957 6.022
6.885 5.116 2.258
5.993 1.734 3.017
3.423 4.767 3.019
2.554 1.356 2.188
4.663 3.249 0.000
9.074 6.717 6.092
8.205 3.306 5.262
1.202 3.249 0.000
```

Output
The value obtained for the density of states at the Fermi level is 15.88 states/eV/f.u. The value obtained for the energy is -4.54 eV per atom. The energy above the lowest structure with this stoichiometry comes out at 0 meV/atom. The density is 7.51 g/cm³. The formation energy from the elements comes out at 0.14 eV/atom.


Which formula does entry 1 have? K2PdBr2F4


What is the energy in the second record? -6.10 eV per atom